No. 1
Entry from the Alexandria database: an optimized crystal structure of Sr2SiSb (GGA-PBEsol).

abc: 5.036 5.036 8.935
angles: 90.00 90.00 90.00
Space group I4/mmm (No. 139)
Unique sites:
1 Sr 0.000 0.500 0.250 x4
2 Si 0.000 0.000 0.000 x2
3 Sb 0.000 0.000 0.500 x2

- calculated volume (Å³ per atom) = 28.3
- VASP energy (eV per atom) = -4.01
- relative energy among the computed polymorphs (eV per atom) = 0.000


No. 2
Entry from the Alexandria database: an optimized crystal structure of TaSi2Sb (GGA-PBEsol).

abc: 5.657 9.119 3.260
angles: 90.00 122.29 90.00
Space group C2/m (No. 12)
Unique sites:
1 Ta 0.000 0.000 0.000 x2
2 Si 0.250 0.250 0.500 x4
3 Sb 0.000 0.500 0.000 x2

- calculated volume (Å³ per atom) = 17.8
- VASP energy (eV per atom) = -6.78


No. 3
Entry from the Alexandria database: an optimized crystal structure of Ta2SiSb (GGA-PBEsol).

abc: 9.554 3.354 4.575
angles: 90.00 104.71 90.00
Space group Cm (No. 8)
Unique sites:
1 Ta 0.000 0.000 0.000 x2
2 Ta 0.212 0.000 0.625 x2
3 Si 0.490 0.000 0.514 x2
4 Sb 0.240 0.500 0.146 x2

- calculated volume (Å³ per atom) = 17.7
- VASP energy (eV per atom) = -8.90
- relative energy among the computed polymorphs (eV per atom) = 0.000


No. 4
Entry from the Alexandria database: an optimized crystal structure of TaSiSb4 (GGA-PBEsol).

abc: 8.380 8.380 8.380
angles: 90.00 90.00 90.00
Space group F-43m (No. 216)
Unique sites:
1 Ta 0.000 0.000 0.000 x4
2 Si 0.250 0.250 0.250 x4
3 Sb 0.125 0.125 0.625 x16

- calculated volume (Å³ per atom) = 24.5
- VASP energy (eV per atom) = -5.06


No. 5
Entry from the Alexandria database: an optimized crystal structure of Ta2SiSb (GGA-PBEsol).

abc: 3.2071 3.2071 25.3969
angles: 90.00 90.00 120.00
Space group R3m (No. 160, hexagonal axes)
Unique sites:
1 Ta 0.0000 0.0000 0.0000 x3
2 Ta 0.0000 0.0000 0.2530 x3
3 Si 0.0000 0.0000 0.5124 x3
4 Sb 0.0000 0.0000 0.7543 x3

- calculated volume (Å³ per atom) = 18.9
- VASP energy (eV per atom) = -8.69
- relative energy among the computed polymorphs (eV per atom) = 0.215


No. 6
Entry from the Alexandria database: an optimized crystal structure of Ta2SiSb (GGA-PBEsol).

abc: 3.768 4.875 7.688
angles: 90.00 90.00 90.00
Space group Cmmm (No. 65)
Unique sites:
1 Ta 0.000 0.000 0.220 x4
2 Si 0.000 0.500 0.000 x2
3 Sb 0.000 0.500 0.500 x2

- calculated volume (Å³ per atom) = 17.7
- VASP energy (eV per atom) = -8.81
- relative energy among the computed polymorphs (eV per atom) = 0.098


No. 7
Entry from the Alexandria database: an optimized crystal structure of Ta2SiSb (GGA-PBEsol).

abc: 9.122 3.302 4.783
angles: 90.00 96.01 90.00
Space group C2/m (No. 12)
Unique sites:
1 Ta 0.246 0.000 0.265 x4
2 Si 0.000 0.000 0.500 x2
3 Sb 0.000 0.500 0.000 x2

- calculated volume (Å³ per atom) = 17.9
- VASP energy (eV per atom) = -8.79
- relative energy among the computed polymorphs (eV per atom) = 0.119


No. 8
Entry from the Alexandria database: an optimized crystal structure of TaSiSb3 (GGA-PBEsol).

abc: 5.268 5.268 5.268
angles: 90.00 90.00 90.00
Space group Pm-3m (No. 221)
Unique sites:
1 Ta 0.000 0.000 0.000 x1
2 Si 0.500 0.500 0.500 x1
3 Sb 0.000 0.000 0.500 x3

- calculated volume (Å³ per atom) = 29.2
- VASP energy (eV per atom) = -5.54


Energy relative to the elements, uncorrected
In order: -0.51 0.37 -0.05 1.02 0.16 0.05 0.07 0.85
Unit: eV/atom
Calculated density
In order: 4.8 8.4 12.0 7.9 11.3 12.0 11.9 6.5
Unit: g cm⁻³